1.
This record from the Open Quantum Materials Database describes a geometry-optimized LiTbFe structure. The functional is GGA-PBE.

a b c (Å): 4.493 4.493 4.493
angles (deg): 60.00 60.00 60.00
Atoms (fractional coordinates):
Li: 0.000 0.000 0.000
Tb: 0.500 0.500 0.500
Fe: 0.250 0.250 0.250

## Properties
Energy (eV per atom): -4.35

---

2.
This record from the Open Quantum Materials Database describes a geometry-optimized AgSbTe2 structure. The functional is GGA-PBE.

a b c (Å): 7.344 7.344 7.344
angles (deg): 34.46 34.46 34.46
Atoms (fractional coordinates):
Ag: 0.000 0.000 0.000
Sb: 0.500 0.500 0.500
Te: 0.254 0.254 0.254
Te: 0.746 0.746 0.746

## Properties
Energy (eV per atom): -3.40

---

3.
This record from the Open Quantum Materials Database describes a geometry-optimized Gd3Ga2Cu4 structure. The functional is GGA-PBE.

a b c (Å): 5.417 5.417 8.349
angles (deg): 97.81 97.81 45.72
Atoms (fractional coordinates):
Gd: 0.000 0.000 0.000
Gd: 0.374 0.374 0.623
Gd: 0.626 0.626 0.377
Ga: 0.318 0.318 0.228
Ga: 0.682 0.682 0.772
Cu: 0.079 0.079 0.636
Cu: 0.275 0.275 0.925
Cu: 0.725 0.725 0.075
Cu: 0.921 0.921 0.364

## Properties
Energy (eV per atom): -4.24